12
Lattice="3.612 0.000 0.000 -1.806 3.129 0.000 0.000 0.000 26.946" Properties=species:S:1:pos:R:3 comment="SbSeBr2 (PBEsol, relaxed)" dft_energy_ev_per_atom=-2.775 polymorph_energy_mev_per_atom=202 sg="No. 166" formation_energy_uncorrected_ev_per_atom=0.26 pbc="T T T"
Sb 0.000 0.000 0.000
Sb 0.000 2.086 17.964
Sb 1.806 1.043 8.982
Se 0.000 0.000 13.473
Se 0.000 2.086 4.491
Se 1.806 1.043 22.455
Br 0.000 0.000 6.896
Br 0.000 0.000 20.049
Br 0.000 2.086 11.067
Br 0.000 2.086 24.860
Br 1.806 1.043 2.086
Br 1.806 1.043 15.878